This record from Alexandria describes LiCr2F after structural relaxation. The functional is GGA+U.

Geometry as CIF:
```
data_LiCr2F
_chemical_formula_sum 'Li4 Cr8 F4'
_symmetry_space_group_name_H-M 'I -4 2 d'
_symmetry_Int_Tables_number 122
_symmetry_space_group_name_Hall 'I -4 2bw'
_cell_length_a 3.965
_cell_length_b 3.965
_cell_length_c 19.559
_cell_angle_alpha 90.00
_cell_angle_beta 90.00
_cell_angle_gamma 90.00
loop_
_atom_site_label
_atom_site_type_symbol
_atom_site_fract_x
_atom_site_fract_y
_atom_site_fract_z
Li1 Li 0.000 0.000 0.000
Cr1 Cr 0.239 0.750 0.625
F1 F 0.000 0.000 0.500
```

Properties
E above lowest polymorph   0.0 meV/atom
Magnetization   40.46 μB per cell
Uncorrected energy   -76.574 eV/cell